No. 1
DFT (PBEsol) results for a geometry-optimized Hf2MnCrS structure.

The structure in extended XYZ format:
```
5
Lattice="4.826 0.000 0.000 0.000 4.826 0.000 0.000 0.000 4.093" Properties=species:S:1:pos:R:3 pbc="T T T"
Hf 0.000 2.413 0.000
Hf 2.413 0.000 0.000
Mn 0.000 0.000 2.046
Cr 2.413 2.413 0.000
S 2.413 2.413 2.046
```

Properties
* VASP energy: -8.455 eV per atom
* space group: P4/mmm

No. 2
DFT (PBEsol) results for a geometry-optimized HfMn2CrSi structure.

The structure in extended XYZ format:
```
5
Lattice="4.248 0.000 0.000 0.000 4.248 0.000 0.000 0.000 4.850" Properties=species:S:1:pos:R:3 pbc="T T T"
Hf 0.000 0.000 0.000
Mn 0.000 2.124 2.425
Mn 2.124 0.000 2.425
Cr 2.124 2.124 0.000
Si 0.000 0.000 2.425
```

Properties
* VASP energy: -8.267 eV per atom
* space group: P4/mmm

No. 3
DFT (PBEsol) results for a geometry-optimized HfCrNO2 structure.

The structure in extended XYZ format:
```
5
Lattice="3.615 0.000 0.000 0.000 3.615 0.000 0.000 0.000 3.822" Properties=species:S:1:pos:R:3 pbc="T T T"
Hf 0.000 0.000 0.000
Cr 1.808 1.808 1.911
N 1.808 1.808 0.000
O 0.000 1.808 1.911
O 1.808 0.000 1.911
```

Properties
* VASP energy: -9.346 eV per atom
* space group: P4/mmm

No. 4
DFT (PBEsol) results for a geometry-optimized YHfCr2N structure.

The structure in extended XYZ format:
```
5
Lattice="3.936 0.000 0.000 0.000 3.936 0.000 0.000 0.000 4.629" Properties=species:S:1:pos:R:3 pbc="T T T"
Y 0.000 0.000 0.000
Hf 1.968 1.968 0.000
Cr 0.000 1.968 2.314
Cr 1.968 0.000 2.314
N 0.000 0.000 2.314
```

Properties
* VASP energy: -9.340 eV per atom
* space group: P4/mmm

no.,ΔE_f (raw) (eV per atom),volume (Å³/f.u.),M_tot (μB per formula unit)
1,0.62,95.3,3.02
2,0.94,87.5,8.13
3,-1.39,50.0,2.27
4,-0.07,71.7,0.00